Compound: VCr2
Source: the Alexandria database
Functional: PBE
Structure: optimized geometry

Values from the calculation:
spin magnetization = 0.000 μB/atom
calculated formation energy = -0.089 eV per atom

Cell: 2.887 2.887 4.806 Å, 107.48 107.48 90.00°
Fractional positions:
V: 0.000 0.000 0.000
Cr: 0.330 0.330 0.659
Cr: 0.670 0.670 0.341